[1]
Material: P2OsPb
Method: DFT, PBE-GGA
State: optimized geometry

a = 4.0810 Å, b = 3.9726 Å, c = 5.9163 Å
α = 89.88°, β = 90.00°, γ = 90.00°
Fractional coordinates of all 4 atoms:
Os  0.5000  0.8749  0.9943
P  0.0000  0.8750  0.8269
P  0.5000  0.3744  0.1775
Pb  0.0000  0.3758  0.5013

Calculated values
- formation enthalpy at 0 K (eV per atom) = 0.161
- total magnetization (μB per formula unit) = 0.00

[2]
Material: DyZn2Cu8
Method: DFT, PBE-GGA
State: optimized geometry

a = 4.8021 Å, b = 4.8021 Å, c = 8.4753 Å
α = 90.00°, β = 90.00°, γ = 90.00°
Fractional coordinates of all 11 atoms:
Dy  0.5000  0.5000  0.5000
Zn  0.5000  0.0000  0.0000
Zn  0.0000  0.5000  0.0000
Cu  0.7520  0.7520  0.2265
Cu  0.7520  0.2480  0.7735
Cu  0.7520  0.7520  0.7735
Cu  0.7520  0.2480  0.2265
Cu  0.2480  0.7520  0.2265
Cu  0.2480  0.7520  0.7735
Cu  0.2480  0.2480  0.2265
Cu  0.2480  0.2480  0.7735

Calculated values
- formation enthalpy at 0 K (eV per atom) = 0.269
- total magnetization (μB per formula unit) = 0.00

[3]
Material: RbSrBiB2
Method: DFT, PBE-GGA
State: optimized geometry

a = 5.2260 Å, b = 6.3238 Å, c = 5.2260 Å
α = 90.00°, β = 90.00°, γ = 90.00°
Each line ends with the local moment (μB).
Fractional coordinates of all 5 atoms:
Sr  0.5000  0.5000  0.5000  0.00
B  0.0000  0.0000  0.5000  0.05
B  0.5000  0.0000  0.0000  0.13
Bi  0.0000  0.5000  0.0000  -0.06
Rb  0.0000  0.0000  0.0000  0.02

Calculated values
- ΔE to the lowest computed polymorph (eV/atom) = 0.000
- formation enthalpy at 0 K (eV per atom) = 1.919
- total magnetization (μB per formula unit) = 0.39

[4]
Material: CdIn2Ag
Method: DFT, PBE-GGA
State: optimized geometry

a = 9.5353 Å, b = 9.5353 Å, c = 9.5353 Å
α = 20.42°, β = 20.42°, γ = 20.42°
Fractional coordinates of all 4 atoms:
Cd  0.7500  0.7500  0.7500
Ag  0.2500  0.2500  0.2500
In  0.9959  0.9959  0.9959
In  0.5041  0.5041  0.5041

Calculated values
- formation enthalpy at 0 K (eV per atom) = -0.003
- total magnetization (μB per formula unit) = 0.00

[5]
Material: RbSiBi2
Method: DFT, PBE-GGA
State: optimized geometry

a = 8.6595 Å, b = 8.6595 Å, c = 7.2607 Å
α = 53.39°, β = 53.39°, γ = 90.00°
Fractional coordinates of all 8 atoms:
Si  0.5000  0.5000  0.0000
Si  0.2500  0.7500  0.5000
Bi  0.5342  0.1250  0.2500
Bi  0.2158  0.6250  0.2500
Bi  0.3750  0.4658  0.7500
Bi  0.8750  0.7842  0.7500
Rb  0.0000  0.0000  0.0000
Rb  0.7500  0.2500  0.5000

Calculated values
- uncorrected energy (eV/cell) = -27.66
- total magnetization (μB per formula unit) = 0.00

[6]
Material: Zn5Pd2Pt
Method: DFT, PBE-GGA
State: optimized geometry

a = 4.0884 Å, b = 4.0884 Å, c = 7.5456 Å
α = 105.72°, β = 105.72°, γ = 90.00°
Fractional coordinates of all 8 atoms:
Zn  0.5000  0.5000  0.0000
Zn  0.8726  0.3726  0.7452
Zn  0.3726  0.8726  0.7452
Zn  0.1274  0.6274  0.2548
Zn  0.6274  0.1274  0.2548
Pd  0.7522  0.7522  0.5044
Pd  0.2478  0.2478  0.4956
Pt  0.0000  0.0000  0.0000

Calculated values
- formation enthalpy at 0 K (eV per atom) = -0.436
- total magnetization (μB per formula unit) = 0.00

[7]
Material: Be3ReGe
Method: DFT, PBE-GGA
State: optimized geometry

a = 4.0966 Å, b = 4.0966 Å, c = 4.0966 Å
α = 90.00°, β = 90.00°, γ = 90.00°
Each line ends with the local moment (μB).
Fractional coordinates of all 5 atoms:
Re  0.5000  0.5000  0.5000  1.90
Ge  0.0000  0.0000  0.0000  0.10
Be  0.0000  0.5000  0.0000  -0.01
Be  0.0000  0.0000  0.5000  0.00
Be  0.5000  0.0000  0.0000  -0.01

Calculated values
- ΔE to the lowest computed polymorph (eV/atom) = 0.340
- formation enthalpy at 0 K (eV per atom) = 1.416
- total magnetization (μB per formula unit) = 2.25

[8]
Material: Ce2HfIn
Method: DFT, PBE-GGA
State: optimized geometry

a = 3.1371 Å, b = 3.1371 Å, c = 11.8784 Å
α = 82.41°, β = 82.41°, γ = 60.00°
Fractional coordinates of all 4 atoms:
Hf  0.0000  0.0000  0.0000
Ce  0.0848  0.0848  0.7456
Ce  0.9152  0.9152  0.2544
In  0.5000  0.5000  0.5000

Calculated values
- ΔE to the lowest computed polymorph (eV/atom) = 0.255
- formation enthalpy at 0 K (eV per atom) = 0.134
- total magnetization (μB per formula unit) = 0.00

[9]
Material: SiBi2SBr
Method: DFT, PBE-GGA
State: optimized geometry

a = 5.7311 Å, b = 4.7463 Å, c = 5.7311 Å
α = 90.00°, β = 90.00°, γ = 90.00°
Fractional coordinates of all 5 atoms:
S  0.0000  0.5000  0.0000
Si  0.5000  0.5000  0.5000
Bi  0.0000  0.0000  0.5000
Bi  0.5000  0.0000  0.0000
Br  0.0000  0.0000  0.0000

Calculated values
- uncorrected energy (eV/cell) = -13.46
- total magnetization (μB per formula unit) = 0.00

[10]
Material: Tb2Pr7Y2
Method: DFT, PBE-GGA
State: optimized geometry

a = 6.1851 Å, b = 8.2164 Å, c = 8.2164 Å
α = 89.88°, β = 74.64°, γ = 74.64°
Fractional coordinates of all 11 atoms:
Tb  0.5900  0.7703  0.7703
Tb  0.4100  0.2297  0.2297
Pr  0.1795  0.0488  0.5868
Pr  0.8205  0.4132  0.9512
Pr  0.8205  0.9512  0.4132
Pr  0.1795  0.5868  0.0488
Pr  0.0000  0.0000  0.0000
Pr  0.8010  0.4250  0.4250
Pr  0.1990  0.5750  0.5750
Y  0.5000  0.7867  0.2133
Y  0.5000  0.2133  0.7867

Calculated values
- ΔE to the lowest computed polymorph (eV/atom) = 0.000
- formation enthalpy at 0 K (eV per atom) = 0.131
- total magnetization (μB per formula unit) = 0.00

[11]
Material: VTe2WI
Method: DFT, PBE-GGA
State: optimized geometry

a = 5.2765 Å, b = 5.2765 Å, c = 5.3051 Å
α = 90.00°, β = 90.00°, γ = 90.00°
Each line ends with the local moment (μB).
Fractional coordinates of all 5 atoms:
I  0.0000  0.0000  0.5000  -0.01
Te  0.0000  0.5000  0.0000  -0.26
Te  0.5000  0.0000  0.0000  -0.26
W  0.5000  0.5000  0.5000  3.27
V  0.0000  0.0000  0.0000  1.97

Calculated values
- ΔE to the lowest computed polymorph (eV/atom) = 0.000
- total magnetization (μB per formula unit) = 6.01

[12]
Material: TcAgCl2
Method: DFT, PBE-GGA
State: optimized geometry

a = 3.0396 Å, b = 3.0396 Å, c = 8.1440 Å
α = 90.00°, β = 90.00°, γ = 90.00°
Fractional coordinates of all 4 atoms:
Tc  0.0000  0.0000  0.4837
Ag  0.5000  0.5000  0.7354
Cl  0.0000  0.0000  0.9488
Cl  0.5000  0.5000  0.3320

Calculated values
- ΔE to the lowest computed polymorph (eV/atom) = 0.263
- total magnetization (μB per formula unit) = 0.00

[13]
Material: CdRe3F
Method: DFT, PBE-GGA
State: optimized geometry

a = 4.2832 Å, b = 4.2832 Å, c = 4.2832 Å
α = 90.00°, β = 90.00°, γ = 90.00°
Each line ends with the local moment (μB).
Fractional coordinates of all 5 atoms:
Re  0.0000  0.5000  0.0000  0.44
Re  0.0000  0.0000  0.5000  0.51
Re  0.5000  0.0000  0.0000  0.41
F  0.0000  0.0000  0.0000  -0.01
Cd  0.5000  0.5000  0.5000  0.00

Calculated values
- ΔE to the lowest computed polymorph (eV/atom) = 0.000
- total magnetization (μB per formula unit) = 1.46